(1)
# Na2AlSiIr GGA-PBE optimized geometry
# electronic total energy	-2.813	eV per atom
# ΔE_f (raw)	1.320	eV per atom
data_Na2AlSiIr
_chemical_formula_sum 'Na2 Al1 Si1 Ir1'
_cell_length_a 5.248
_cell_length_b 5.248
_cell_length_c 4.535
_cell_angle_alpha 90.00
_cell_angle_beta 90.00
_cell_angle_gamma 90.00
_symmetry_space_group_name_H-M 'P 4/m m m'
_symmetry_Int_Tables_number 123
_symmetry_space_group_name_Hall '-P 4 2'
loop_
_atom_site_label
_atom_site_type_symbol
_atom_site_fract_x
_atom_site_fract_y
_atom_site_fract_z
_atom_site_occupancy
Na1 Na 0.000 0.500 0.000 1
Al1 Al 0.000 0.000 0.000 1
Si1 Si 0.000 0.000 0.500 1
Ir1 Ir 0.500 0.500 0.500 1


(2)
# NaAlIr2W GGA-PBE optimized geometry
# electronic total energy	-5.815	eV per atom
# formation enthalpy at 0 K	1332.8	meV per atom
data_NaAlIr2W
_chemical_formula_sum 'Na1 Al1 Ir2 W1'
_cell_length_a 4.537
_cell_length_b 4.537
_cell_length_c 4.651
_cell_angle_alpha 90.00
_cell_angle_beta 90.00
_cell_angle_gamma 90.00
_symmetry_space_group_name_H-M 'P 4/m m m'
_symmetry_Int_Tables_number 123
_symmetry_space_group_name_Hall '-P 4 2'
loop_
_atom_site_label
_atom_site_type_symbol
_atom_site_fract_x
_atom_site_fract_y
_atom_site_fract_z
_atom_site_occupancy
Na1 Na 0.000 0.000 0.000 1
Al1 Al 0.500 0.500 0.500 1
Ir1 Ir 0.000 0.500 0.500 1
W1 W 0.500 0.500 0.000 1


(3)
# Nb4AlIr2 GGA-PBE optimized geometry
# electronic total energy	-8.053	eV per atom
# formation enthalpy at 0 K	767.8	meV per atom
data_Nb4AlIr2
_chemical_formula_sum 'Nb8 Al2 Ir4'
_cell_length_a 4.594
_cell_length_b 4.594
_cell_length_c 13.151
_cell_angle_alpha 90.00
_cell_angle_beta 90.00
_cell_angle_gamma 90.00
_symmetry_space_group_name_H-M 'I 4/m m m'
_symmetry_Int_Tables_number 139
_symmetry_space_group_name_Hall '-I 4 2'
loop_
_atom_site_label
_atom_site_type_symbol
_atom_site_fract_x
_atom_site_fract_y
_atom_site_fract_z
_atom_site_occupancy
Nb1 Nb 0.000 0.000 0.193 1
Nb2 Nb 0.000 0.500 0.000 1
Al1 Al 0.000 0.000 0.000 1
Ir1 Ir 0.000 0.000 0.378 1


(4)
# NbAl2Ir GGA-PBE optimized geometry
# electronic total energy	-6.719	eV per atom
# formation enthalpy at 0 K	-115.2	meV per atom
data_NbAl2Ir
_chemical_formula_sum 'Nb4 Al8 Ir4'
_cell_length_a 7.097
_cell_length_b 7.097
_cell_length_c 5.426
_cell_angle_alpha 90.00
_cell_angle_beta 90.00
_cell_angle_gamma 90.00
_symmetry_space_group_name_H-M 'I -4 2 d'
_symmetry_Int_Tables_number 122
_symmetry_space_group_name_Hall 'I -4 2bw'
loop_
_atom_site_label
_atom_site_type_symbol
_atom_site_fract_x
_atom_site_fract_y
_atom_site_fract_z
_atom_site_occupancy
Nb1 Nb 0.000 0.000 0.000 1
Al1 Al 0.217 0.250 0.625 1
Ir1 Ir 0.000 0.000 0.500 1


(5)
# NbAlIr3 GGA-PBE optimized geometry
# ΔE to the lowest computed polymorph	0	kJ/mol of formula units
# electronic total energy	-7.346	eV per atom
# formation enthalpy at 0 K	733.0	meV per atom
data_NbAlIr3
_chemical_formula_sum 'Nb1 Al1 Ir3'
_cell_length_a 4.420
_cell_length_b 4.420
_cell_length_c 4.420
_cell_angle_alpha 90.00
_cell_angle_beta 90.00
_cell_angle_gamma 90.00
_symmetry_space_group_name_H-M 'P m -3 m'
_symmetry_Int_Tables_number 221
_symmetry_space_group_name_Hall '-P 4 2 3'
loop_
_atom_site_label
_atom_site_type_symbol
_atom_site_fract_x
_atom_site_fract_y
_atom_site_fract_z
_atom_site_occupancy
Nb1 Nb 0.000 0.000 0.000 1
Al1 Al 0.500 0.500 0.500 1
Ir1 Ir 0.000 0.500 0.500 1


(6)
# Nb2AlIr2 GGA-PBE optimized geometry
# electronic total energy	-8.745	eV per atom
# formation enthalpy at 0 K	-424.0	meV per atom
data_Nb2AlIr2
_chemical_formula_sum 'Nb4 Al2 Ir4'
_cell_length_a 7.597
_cell_length_b 7.597
_cell_length_c 2.973
_cell_angle_alpha 90.00
_cell_angle_beta 90.00
_cell_angle_gamma 90.00
_symmetry_space_group_name_H-M 'P 4/m b m'
_symmetry_Int_Tables_number 127
_symmetry_space_group_name_Hall '-P 4 2ab'
loop_
_atom_site_label
_atom_site_type_symbol
_atom_site_fract_x
_atom_site_fract_y
_atom_site_fract_z
_atom_site_occupancy
Nb1 Nb 0.167 0.333 0.000 1
Al1 Al 0.000 0.000 0.500 1
Ir1 Ir 0.129 0.629 0.500 1